Entry from the Alexandria database: a relaxed structure of PrGd2Th (GGA-PBE).

It has space group R-3m (No. 166, hexagonal axes), with a = 3.5466 Å, b = 3.5466 Å, c = 37.3463 Å, α = 90.00°, β = 90.00° and γ = 120.00°. The distinct sites, in fractional coordinates, are Pr at (0.0000, 0.0000, 0.0000), Gd at (0.0000, 0.0000, 0.0921) and Th at (0.0000, 0.0000, 0.5000).

The calculation puts the energy of formation at 0.124 eV per atom. As for the energy above the lowest structure with this stoichiometry: 102 meV/atom.


Entry from the Alexandria database: a relaxed structure of PrGdTh (GGA-PBE).

It has space group I4mm (No. 107), with a = 3.6260 Å, b = 3.6260 Å, c = 15.3559 Å, α = 90.00°, β = 90.00° and γ = 90.00°. The distinct sites, in fractional coordinates, are Pr at (0.0000, 0.0000, 0.0000), Gd at (0.0000, 0.0000, 0.6847) and Th at (0.0000, 0.0000, 0.3389).

The calculation puts the energy of formation at 0.028 eV per atom.


Entry from the Alexandria database: a relaxed structure of PrGdTh2 (GGA-PBE).

It has space group P4/mmm (No. 123), with a = 5.0389 Å, b = 5.0389 Å, c = 5.1927 Å, α = 90.00°, β = 90.00° and γ = 90.00°. The distinct sites, in fractional coordinates, are Pr at (0.0000, 0.0000, 0.0000), Gd at (0.5000, 0.5000, 0.0000) and Th at (0.0000, 0.5000, 0.5000).

The calculation puts the energy of formation at 0.075 eV per atom. As for the energy above the lowest structure with this stoichiometry: 0 meV/atom.


Entry from the Alexandria database: a relaxed structure of PrGdThTl (GGA-PBE).

It has space group F-43m (No. 216), with a = 7.8748 Å, b = 7.8748 Å, c = 7.8748 Å, α = 90.00°, β = 90.00° and γ = 90.00°. The distinct sites, in fractional coordinates, are Pr at (0.0000, 0.0000, 0.0000), Gd at (0.0000, 0.0000, 0.5000), Th at (0.2500, 0.2500, 0.7500) and Tl at (0.2500, 0.2500, 0.2500).

The calculation puts the energy of formation at 0.041 eV per atom.


Entry from the Alexandria database: a relaxed structure of PrGdThZr (GGA-PBE).

It has space group F-43m (No. 216), with a = 7.8524 Å, b = 7.8524 Å, c = 7.8524 Å, α = 90.00°, β = 90.00° and γ = 90.00°. The distinct sites, in fractional coordinates, are Pr at (0.0000, 0.0000, 0.0000), Gd at (0.2500, 0.2500, 0.7500), Th at (0.2500, 0.2500, 0.2500) and Zr at (0.0000, 0.0000, 0.5000).

The calculation puts the energy of formation at 0.220 eV per atom.


Entry from the Alexandria database: a relaxed structure of PrGdTl (GGA-PBE).

It has space group P3m1 (No. 156), with a = 5.3535 Å, b = 5.3535 Å, c = 3.7820 Å, α = 90.00°, β = 90.00° and γ = 120.00°. The distinct sites, in fractional coordinates, are Pr at (0.0000, 0.0000, 0.0000), Gd at (0.3333, 0.6667, 0.4500) and Tl at (0.6667, 0.3333, 0.6255).

The calculation puts the energy of formation at -0.171 eV per atom. As for the energy above the lowest structure with this stoichiometry: 70 meV/atom.


> Among the records above, which one has the highest energy of formation?

PrGdThZr


> Look up the energy of formation of the third one.

0.075 eV per atom